Entry from Alexandria: a relaxed Na2FeO4 crystal (PBE+U).

Cell: 5.510 5.771 8.348 Å, 83.43 112.67 112.37°
Fractional positions:
O (0.421, 0.511, 0.168)
O (0.294, 0.935, 0.130)
O (0.381, 0.166, 0.559)
O (0.940, 0.438, 0.690)
O (0.619, 0.834, 0.441)
O (0.706, 0.065, 0.870)
O (0.060, 0.562, 0.310)
O (0.579, 0.489, 0.832)
Fe (0.652, 0.297, 0.738)
Fe (0.348, 0.703, 0.262)
Na (0.669, 0.271, 0.376)
Na (0.331, 0.729, 0.624)
Na (0.210, 0.233, 0.924)
Na (0.790, 0.767, 0.076)

Calculated values
Offset from the most stable computed form   0.023 eV per atom
Total magnetic moment   2.0 μB/f.u.
Crystal system   triclinic
Density   2.4 g cm⁻³